Record 1
An optimized crystal structure of SiPb2Au, computed with PBE-GGA.

## Properties
For the density of states at the Fermi level, the calculation gives 0.49 states/eV/atom. For the total energy, the calculation gives -3.85 eV/atom. Its space group is Cm. Its magnetic moment is 0.00 μB per formula unit. The value obtained for the formation energy (no corrections) is 0.70 eV per formula unit. As for the crystal system: monoclinic.

a = 5.8286 Å, b = 5.8286 Å, c = 6.1529 Å
α = 62.03°, β = 62.03°, γ = 33.23°
With the nearest neighbours (Å) after each atom.
Sites, in units of the cell vectors:
Au (0.1817, 0.1817, 0.2064)  2 Si 2.51
Pb (0.9582, 0.9582, 0.0446)  3 Au 3.11-3.21, 2 Si 3.14, 3 Pb 3.33-3.42
Pb (0.7954, 0.7954, 0.6976)  3 Si 3.12-3.16, 2 Au 3.21, 3 Pb 3.33-3.42
Si (0.5647, 0.5647, 0.5514)  2 Au 2.51

---

Record 2
An optimized crystal structure of TcGe3O, computed with PBE-GGA.

## Properties
For the density of states at the Fermi level, the calculation gives 1.45 states/eV/atom. For the total energy, the calculation gives -5.46 eV/atom. Its space group is Pm-3m. Its magnetic moment is 0.98 μB per formula unit. The value obtained for the formation energy (no corrections) is 1.88 eV per formula unit. The calculation puts the offset from the most stable computed form at 0.083 eV/atom. As for the crystal system: cubic.

a = 4.7410 Å, b = 4.7410 Å, c = 4.7410 Å
α = 90.00°, β = 90.00°, γ = 90.00°
With the nearest neighbours (Å) after each atom.
Sites, in units of the cell vectors:
Ge (0.0000, 0.5000, 0.0000)  2 Tc 2.37
Ge (0.0000, 0.0000, 0.5000)  2 Tc 2.37
Ge (0.5000, 0.0000, 0.0000)  2 Tc 2.37
Tc (0.0000, 0.0000, 0.0000)  6 Ge 2.37
O (0.5000, 0.5000, 0.5000)  12 Ge 3.35

---

Record 3
An optimized crystal structure of TbPmTl2, computed with PBE-GGA.

## Properties
For the density of states at the Fermi level, the calculation gives 0.79 states/eV/atom. For the total energy, the calculation gives -3.90 eV/atom. Its space group is Fm-3m. Its magnetic moment is 0.00 μB per formula unit. Its energy relative to the elements is -1.478 eV/f.u. The calculation puts the offset from the most stable computed form at 0.007 eV/atom. As for the crystal system: cubic.

a = 5.4405 Å, b = 5.4405 Å, c = 5.4405 Å
α = 60.00°, β = 60.00°, γ = 60.00°
With the nearest neighbours (Å) after each atom.
Sites, in units of the cell vectors:
Tl (0.2500, 0.2500, 0.2500)  4 Tb 3.33, 4 Pm 3.33
Tl (0.7500, 0.7500, 0.7500)  4 Pm 3.33, 4 Tb 3.33
Tb (0.0000, 0.0000, 0.0000)  8 Tl 3.33
Pm (0.5000, 0.5000, 0.5000)  8 Tl 3.33

---

Record 4
An optimized crystal structure of SiNi, computed with PBE-GGA.

## Properties
For the density of states at the Fermi level, the calculation gives 0.53 states/eV/atom. For the total energy, the calculation gives -5.60 eV/atom. Its space group is Fd-3m. Its magnetic moment is 0.00 μB per formula unit. The value obtained for the formation energy (no corrections) is 0.01 eV per formula unit. As for the crystal system: cubic.

a = 4.0694 Å, b = 4.0694 Å, c = 4.0694 Å
α = 60.00°, β = 60.00°, γ = 60.00°
With the nearest neighbours (Å) after each atom.
Sites, in units of the cell vectors:
Ni (0.0000, 0.0000, 0.0000)  4 Ni 2.49, 4 Si 2.49
Ni (0.2500, 0.2500, 0.2500)  4 Si 2.49, 4 Ni 2.49
Si (0.5000, 0.5000, 0.5000)  4 Si 2.49, 4 Ni 2.49
Si (0.7500, 0.7500, 0.7500)  4 Ni 2.49, 4 Si 2.49

---

Record 5
An optimized crystal structure of Be2SiPd3, computed with PBE-GGA.

## Properties
For the density of states at the Fermi level, the calculation gives 0.45 states/eV/atom. For the total energy, the calculation gives -5.26 eV/atom. Its space group is P-3m1. Its magnetic moment is 0.00 μB per formula unit. The value obtained for the formation energy (no corrections) is -3.09 eV per formula unit. As for the crystal system: trigonal.

a = 4.1115 Å, b = 4.1115 Å, c = 10.0877 Å
α = 90.00°, β = 90.00°, γ = 120.00°
With the nearest neighbours (Å) after each atom.
Sites, in units of the cell vectors:
Be (0.0000, 0.0000, 0.5000)  8 Pd 2.52-2.58
Be (0.3333, 0.6667, 0.1581)  8 Pd 2.40-2.59
Be (0.6667, 0.3333, 0.8419)  8 Pd 2.40-2.59
Be (0.0000, 0.0000, 0.0000)  8 Pd 2.46-2.51
Si (0.3333, 0.6667, 0.6703)  8 Pd 2.52-2.58
Si (0.6667, 0.3333, 0.3297)  8 Pd 2.52-2.58
Pd (0.3333, 0.6667, 0.4147)  4 Si 2.52-2.58, 4 Be 2.52-2.59
Pd (0.6667, 0.3333, 0.0801)  7 Be 2.40-2.51, 1 Si 2.52
Pd (0.0000, 0.0000, 0.7560)  5 Be 2.46-2.58, 3 Si 2.53
Pd (0.0000, 0.0000, 0.2440)  5 Be 2.46-2.58, 3 Si 2.53
Pd (0.3333, 0.6667, 0.9199)  7 Be 2.40-2.51, 1 Si 2.52
Pd (0.6667, 0.3333, 0.5853)  4 Si 2.52-2.58, 4 Be 2.52-2.59

---

Record 6
An optimized crystal structure of PuCd4Hg7, computed with PBE-GGA.

## Properties
For the density of states at the Fermi level, the calculation gives 1.62 states/eV/atom. For the total energy, the calculation gives -1.64 eV/atom. Its space group is C2/m. Its magnetic moment is 6.16 μB per formula unit. Its energy relative to the elements is 0.434 eV/f.u. The calculation puts the offset from the most stable computed form at 0.065 eV/atom. As for the crystal system: monoclinic.

a = 6.1730 Å, b = 8.7921 Å, c = 7.0269 Å
α = 73.05°, β = 63.94°, γ = 69.45°
With the nearest neighbours (Å) after each atom.
Sites, in units of the cell vectors:
Pu (0.0000, 0.0000, 0.0000)  8 Hg 3.09-3.23
Cd (0.5000, 0.3296, 0.6704)  6 Hg 2.98-3.14, 2 Cd 3.12-3.25
Cd (0.5000, 0.6704, 0.3296)  6 Hg 2.98-3.14, 2 Cd 3.12-3.25
Cd (0.7461, 0.6727, 0.8352)  7 Hg 3.04-3.16, 1 Cd 3.12
Cd (0.2539, 0.3273, 0.1648)  7 Hg 3.04-3.16, 1 Cd 3.12
Hg (0.7477, 0.9993, 0.5053)  2 Cd 3.07-3.12, 5 Hg 3.09-3.25, 1 Pu 3.19
Hg (0.2523, 0.0007, 0.4947)  2 Cd 3.07-3.12, 5 Hg 3.09-3.25, 1 Pu 3.19
Hg (0.0017, 0.6593, 0.3373)  3 Hg 3.06-3.25, 4 Cd 3.09-3.16, 1 Pu 3.23
Hg (0.9983, 0.3407, 0.6627)  3 Hg 3.06-3.25, 4 Cd 3.09-3.16, 1 Pu 3.23
Hg (0.2611, 0.6534, 0.8244)  5 Cd 2.98-3.15, 1 Pu 3.23, 2 Hg 3.25
Hg (0.5000, 0.0000, 0.0000)  4 Cd 3.04-3.14, 2 Pu 3.09, 2 Hg 3.12
Hg (0.7389, 0.3466, 0.1756)  5 Cd 2.98-3.15, 1 Pu 3.23, 2 Hg 3.25

---

Record 7
An optimized crystal structure of TlGaTe2Se, computed with PBE-GGA.

## Properties
For the density of states at the Fermi level, the calculation gives 1.17 states/eV/atom. For the total energy, the calculation gives -2.32 eV/atom. Its space group is P4/mmm. Its magnetic moment is 0.00 μB per formula unit. The value obtained for the formation energy (no corrections) is 3.58 eV per formula unit. As for the crystal system: tetragonal.

a = 5.7753 Å, b = 5.3946 Å, c = 5.7753 Å
α = 90.00°, β = 90.00°, γ = 90.00°
With the nearest neighbours (Å) after each atom.
Sites, in units of the cell vectors:
Tl (0.0000, 0.0000, 0.0000)  2 Ga 2.70, 4 Te 2.89
Te (0.0000, 0.0000, 0.5000)  2 Tl 2.89
Te (0.5000, 0.0000, 0.0000)  2 Tl 2.89
Ga (0.0000, 0.5000, 0.0000)  2 Tl 2.70
Se (0.5000, 0.5000, 0.5000)  8 Te 3.95, 4 Ga 4.08

---

Record 8
An optimized crystal structure of Mg2FeAs, computed with PBE-GGA.

## Properties
For the density of states at the Fermi level, the calculation gives 0.48 states/eV/atom. For the total energy, the calculation gives -4.02 eV/atom. Its space group is I4/mmm. Its magnetic moment is 2.34 μB per formula unit. Its energy relative to the elements is 0.212 eV/f.u. As for the crystal system: tetragonal.

a = 5.1017 Å, b = 5.1017 Å, c = 5.1017 Å
α = 134.49°, β = 134.49°, γ = 66.32°
With the nearest neighbours (Å) after each atom.
Sites, in units of the cell vectors:
As (0.2500, 0.7500, 0.5000)  4 Fe 2.79, 8 Mg 2.91
Fe (0.7500, 0.2500, 0.5000)  4 As 2.79, 8 Mg 2.91
Mg (0.0000, 0.0000, 0.0000)  4 Mg 2.79, 4 Fe 2.91, 4 As 2.91
Mg (0.5000, 0.5000, 0.0000)  4 Mg 2.79, 4 As 2.91, 4 Fe 2.91

---

Record 9
An optimized crystal structure of Pm3Sb4Rh4, computed with PBE-GGA.

## Properties
For the density of states at the Fermi level, the calculation gives 0.57 states/eV/atom. For the total energy, the calculation gives -6.37 eV/atom. Its space group is Immm. Its magnetic moment is 0.00 μB per formula unit. The value obtained for the formation energy (no corrections) is -9.97 eV per formula unit. As for the crystal system: orthorhombic.

a = 4.3918 Å, b = 7.4477 Å, c = 8.4961 Å
α = 116.00°, β = 104.98°, γ = 90.00°
With the nearest neighbours (Å) after each atom.
Sites, in units of the cell vectors:
Pm (0.1301, 0.1301, 0.2603)  6 Sb 3.17-3.29, 6 Rh 3.17-3.20
Pm (0.8699, 0.8699, 0.7397)  6 Sb 3.17-3.29, 6 Rh 3.17-3.20
Pm (0.0000, 0.5000, 0.0000)  6 Sb 3.10-3.13
Sb (0.2139, 0.7139, 0.4279)  6 Rh 2.71
Sb (0.7861, 0.2861, 0.5721)  6 Rh 2.71
Sb (0.5000, 0.7938, 0.0000)  2 Rh 2.71
Sb (0.5000, 0.2062, 0.0000)  2 Rh 2.71
Rh (0.3206, 0.1175, 0.6413)  4 Sb 2.71, 1 Rh 3.03
Rh (0.6794, 0.4762, 0.3587)  4 Sb 2.71, 1 Rh 3.03
Rh (0.6794, 0.8825, 0.3587)  4 Sb 2.71, 1 Rh 3.03
Rh (0.3206, 0.5238, 0.6413)  4 Sb 2.71, 1 Rh 3.03

---

Record 10
An optimized crystal structure of Nd2ErMn, computed with PBE-GGA.

## Properties
For the density of states at the Fermi level, the calculation gives 1.40 states/eV/atom. For the total energy, the calculation gives -5.64 eV/atom. Its space group is P4/mmm. Its magnetic moment is 3.98 μB per formula unit. Its energy relative to the elements is 0.724 eV/f.u. As for the crystal system: tetragonal.

a = 3.6233 Å, b = 3.6233 Å, c = 8.8247 Å
α = 90.00°, β = 90.00°, γ = 90.00°
With the nearest neighbours (Å) after each atom.
Sites, in units of the cell vectors:
Mn (0.5000, 0.5000, 0.0000)  8 Nd 3.17
Nd (0.0000, 0.0000, 0.7881)  4 Mn 3.17
Nd (0.0000, 0.0000, 0.2119)  4 Mn 3.17
Er (0.5000, 0.5000, 0.5000)  8 Nd 3.61, 4 Er 3.62

---

Record 11
An optimized crystal structure of FeRe2Hg, computed with PBE-GGA.

## Properties
For the density of states at the Fermi level, the calculation gives 0.81 states/eV/atom. For the total energy, the calculation gives -7.95 eV/atom. Its space group is Pm. Its magnetic moment is 2.61 μB per formula unit. Its energy relative to the elements is 1.845 eV/f.u. The calculation puts the offset from the most stable computed form at 0.091 eV/atom. As for the crystal system: monoclinic.

a = 3.8824 Å, b = 2.8483 Å, c = 6.4218 Å
α = 63.55°, β = 90.00°, γ = 90.00°
With the nearest neighbours (Å) after each atom.
Sites, in units of the cell vectors:
Fe (0.0000, 0.5338, 0.4747)  3 Re 2.47-2.69
Hg (0.5000, 0.7643, 0.7375)  4 Fe 2.83-2.85, 6 Re 2.84-3.02, 2 Hg 2.85
Re (0.0000, 0.9787, 0.0446)  1 Fe 2.47, 4 Re 2.58-2.75
Re (0.5000, 0.2233, 0.2432)  6 Re 2.58-2.85, 4 Fe 2.69-2.82, 1 Hg 2.84

---

Q: magnetic moment of number 9 (Pm3Sb4Rh4)?
A: 0.00 μB per formula unit